Computed, not measured: Y3SbO after structural relaxation at the PBE-GGA level of DFT.

abc: 4.7777 4.7777 4.7777
angles: 90.00 90.00 90.00
With the nearest neighbours (Å) after each atom.
Positions (direct):
Y (0.0000, 0.0000, 0.5000)  2 O 2.39
Y (0.0000, 0.5000, 0.0000)  2 O 2.39
Y (0.5000, 0.0000, 0.0000)  2 O 2.39
Sb (0.5000, 0.5000, 0.5000)  12 Y 3.38
O (0.0000, 0.0000, 0.0000)  6 Y 2.39

Properties
**ΔE_f (raw)**: -1445 meV/atom
**Total magnetization**: 0.00 μB per cell
**Mass density**: 6.2 g/cm³
**Final energy**: -35.697 eV per cell
**Symmetry**: Pm-3m
**Excess energy over the best structure of this formula in the dataset**: 0 meV/atom